Entry 1:
A plane-wave DFT calculation with PBE was carried out for CrPtW after structural relaxation.

The structure in POSCAR format:
```
CrPtW
1.0
-1.082 -2.556 0.716
2.110 2.404 6.036
-3.970 2.627 3.378
Cr Pt W
2 2 2
direct
0.708 0.415 0.376 Cr
0.292 0.585 0.624 Cr
0.864 0.729 0.891 Pt
0.136 0.271 0.109 Pt
0.084 0.168 0.703 W
0.916 0.832 0.297 W
```

Space-group type: C2/m (12)
E above lowest polymorph, eV/atom: 0.425
Energy of formation, eV per atom: 0.416
Fermi-level density of states, states/eV/atom: 0.70
Calculated density, Mg/m³: 14.508

Entry 2:
A plane-wave DFT calculation with PBE was carried out for CrPt2W after structural relaxation.

The structure in POSCAR format:
```
CrPt2W
1.0
-0.297 -0.092 -2.755
3.932 -2.687 -0.334
0.095 -5.521 0.174
W Pt Cr
1 2 1
direct
0.500 0.500 0.500 W
0.000 0.000 0.000 Pt
0.500 0.500 0.000 Pt
0.000 0.000 0.500 Cr
```

Space-group type: P2/m (10)
E above lowest polymorph, eV/atom: 0.170
Energy of formation, eV per atom: -0.032
Fermi-level density of states, states/eV/atom: 0.95
Calculated density, Mg/m³: 17.368